Record 1
## MgH (PBE)

Data for an optimized crystal structure of MgH.

POSCAR file:
```
MgH
1.0
-3.710 -0.143 -4.785
0.655 -6.012 -0.328
-4.742 -0.718 3.698
H Mg
8 8
direct
0.366 0.634 0.366
0.866 0.134 0.866
0.634 0.634 0.634
0.134 0.134 0.134
0.866 0.866 0.134
0.634 0.366 0.366
0.134 0.866 0.866
0.366 0.366 0.634
0.686 0.686 0.314
0.686 0.314 0.686
0.314 0.314 0.314
0.814 0.814 0.814
0.314 0.686 0.686
0.814 0.186 0.186
0.186 0.814 0.186
0.186 0.186 0.814
```

Results
E_tot (eV for the cell shown): -36.48
Polymorph energy (0 for the lowest one) (meV/atom): 257.0



Record 2
## LiSmAl3 (PBE)

Data for an optimized crystal structure of LiSmAl3.

POSCAR file:
```
LiSmAl3
1.0
-1.021 1.676 -4.109
-3.199 -1.330 0.253
-2.650 11.965 5.540
Li Al Sm
2 6 2
direct
0.750 0.214 0.427
0.250 0.786 0.573
0.750 0.321 0.641
0.250 0.475 0.950
0.750 0.627 0.254
0.750 0.525 0.050
0.250 0.679 0.359
0.250 0.373 0.746
0.750 0.924 0.848
0.250 0.076 0.152
```

Results
Energy of formation from the pure elements (eV per atom): -0.26
E_tot (eV for the cell shown): -38.29



Record 3
## RbPSe2 (PBE)

Data for an optimized crystal structure of RbPSe2.

POSCAR file:
```
RbPSe2
1.0
-0.469 -3.918 -5.704
6.718 0.102 -0.622
1.992 -10.191 6.837
Se Rb P
8 4 4
direct
0.205 0.103 0.538
0.795 0.897 0.462
0.146 0.578 0.632
0.854 0.422 0.368
0.295 0.603 0.038
0.354 0.078 0.132
0.705 0.397 0.962
0.646 0.922 0.868
0.648 0.548 0.681
0.852 0.048 0.181
0.352 0.452 0.319
0.148 0.952 0.819
0.614 0.715 0.019
0.386 0.285 0.981
0.114 0.785 0.481
0.886 0.215 0.519
```

Results
E_tot (eV for the cell shown): -62.38



Record 4
## MgTc2Ru2 (PBE)

Data for an optimized crystal structure of MgTc2Ru2.

POSCAR file:
```
MgTc2Ru2
1.0
7.573 0.000 0.000
0.000 7.573 0.000
0.000 0.000 2.758
Mg Ru Tc
2 4 4
direct
0.000 0.000 0.000
0.500 0.500 0.000
0.169 0.669 0.500
0.331 0.169 0.500
0.669 0.831 0.500
0.831 0.331 0.500
0.879 0.621 0.000
0.379 0.879 0.000
0.621 0.121 0.000
0.121 0.379 0.000
```

Results
Energy of formation from the pure elements (eV per atom): 0.11
E_tot (eV for the cell shown): -80.66
Polymorph energy (0 for the lowest one) (meV/atom): 0.0



Record 5
## NdHoTm5Th2 (PBE)

Data for an optimized crystal structure of NdHoTm5Th2.

POSCAR file:
```
NdHoTm5Th2
1.0
-2.135 -6.558 5.313
-1.673 -5.043 -6.897
9.191 3.411 0.771
Tm Ho Nd Th
10 2 2 4
direct
0.651 0.151 0.720
0.569 0.651 0.720
0.931 0.431 0.280
0.000 0.000 0.000
0.349 0.849 0.280
0.431 0.349 0.280
0.500 0.500 0.000
0.151 0.069 0.720
0.069 0.569 0.720
0.849 0.931 0.280
0.250 0.250 0.500
0.750 0.750 0.500
0.250 0.750 0.500
0.750 0.250 0.500
0.881 0.619 0.000
0.619 0.119 0.000
0.381 0.881 0.000
0.119 0.381 0.000
```

Results
Energy of formation from the pure elements (eV per atom): 0.34
E_tot (eV for the cell shown): -86.97



Record 6
## Ta2ReSb (PBE)

Data for an optimized crystal structure of Ta2ReSb.

POSCAR file:
```
Ta2ReSb
1.0
-7.005 4.580 -2.728
-8.385 2.603 -0.630
-7.013 5.306 0.384
Sb Ta Re
1 2 1
direct
0.750 0.750 0.750
0.508 0.508 0.508
0.992 0.992 0.992
0.250 0.250 0.250
```

Results
E_tot (eV for the cell shown): -39.26



Record 7
## LiLaSn3 (PBE)

Data for an optimized crystal structure of LiLaSn3.

POSCAR file:
```
LiLaSn3
1.0
6.057 0.000 0.000
0.000 6.057 0.000
0.000 0.000 6.057
Sn Li La
3 1 1
direct
0.000 0.000 0.500
0.000 0.500 0.000
0.500 0.000 0.000
0.500 0.500 0.500
0.000 0.000 0.000
```

Results
Energy of formation from the pure elements (eV per atom): 0.48
E_tot (eV for the cell shown): -16.44
Polymorph energy (0 for the lowest one) (meV/atom): 979.6



Record 8
## CaPm8Tm2 (PBE)

Data for an optimized crystal structure of CaPm8Tm2.

POSCAR file:
```
CaPm8Tm2
1.0
5.403 0.000 -1.641
-1.043 7.726 -3.436
-0.086 -0.513 9.435
Tm Pm Ca
2 8 1
direct
0.797 0.297 0.594
0.203 0.703 0.406
0.161 0.161 0.322
0.643 0.843 0.287
0.000 0.690 0.000
0.000 0.310 0.000
0.357 0.557 0.713
0.839 0.839 0.678
0.357 0.157 0.713
0.643 0.443 0.287
0.500 0.000 0.000
```

Results
Energy of formation from the pure elements (eV per atom): 0.15
E_tot (eV for the cell shown): -47.32



The lowest E_tot belongs to which entry?
NdHoTm5Th2



Which value of E_tot does entry 8 give?
-47.32 eV for the cell shown



E_tot of number 4 (MgTc2Ru2)?
-80.66 eV for the cell shown



What is the formula in the sixth record?
Ta2ReSb